The following is a PBE-GGA calculation of an optimized crystal structure of Cd3Cu2, from the Alexandria database.

Cell lengths 5.7602, 5.7602, 7.4210 Å; angles 67.16, 67.16, 60.00 degrees
Closest atoms and distances in Å follow each position.
Sites, in units of the cell vectors:
Cd  0.8062  0.2500  0.2500  4 Cu 2.71-2.83, 4 Cd 2.93
Cu  0.6895  0.6895  0.9314  1 Cu 2.41
Cd  0.6938  0.8062  0.2500  4 Cu 2.71-2.83, 4 Cd 2.93
Cd  0.1938  0.7500  0.7500  4 Cu 2.71-2.83, 4 Cd 2.93
Cu  0.8105  0.8105  0.5686  1 Cu 2.41
Cd  0.2500  0.6938  0.2500  4 Cu 2.71-2.83, 4 Cd 2.93
Cu  0.1895  0.1895  0.4314  1 Cu 2.41
Cu  0.3105  0.3105  0.0686  1 Cu 2.41
Cd  0.3062  0.1938  0.7500  4 Cu 2.71-2.83, 4 Cd 2.93
Cd  0.7500  0.3062  0.7500  4 Cu 2.71-2.83, 4 Cd 2.93

## Properties
As for the space group: R-3c (167). For the formation energy, the calculation gives 0.15 eV per atom. The energy above the most stable polymorph in this dataset comes out at 0.106 eV per atom.